(1)
Compound: Tl5In4Sn2
Source: the Alexandria database
Functional: PBE
Structure: optimized geometry

## Properties
- Symmetry: Immm, No. 71
- Magnetic moment: 0.00 μB per formula unit
- Energy above the lowest structure with this stoichiometry: 0.089 eV per atom

Cell and atoms, written as POSCAR:
```
Tl5In4Sn2
1.0
-1.694 0.134 -2.756
-1.123 -8.316 0.287
-9.822 5.848 8.222
Tl In Sn
5 4 2
Cartesian
-3.400 -5.591 1.819
-9.734 -0.420 4.061
-0.847 0.067 -1.378
-2.904 -1.914 1.692
-9.238 3.257 3.934
-6.747 1.056 4.198
-5.892 -3.390 1.555
-0.756 -5.601 0.193
-0.366 -2.715 0.094
-8.368 -3.002 3.096
-4.271 0.668 2.657
```


(2)
Compound: TlIn12Sn7
Source: the Alexandria database
Functional: PBE
Structure: optimized geometry

## Properties
- Symmetry: R-3, No. 148
- Magnetic moment: 0.00 μB per formula unit

Cell and atoms, written as POSCAR:
```
TlIn12Sn7
1.0
-3.624 5.125 -1.735
0.853 -5.197 -8.987
-5.938 -4.492 7.284
Sn In Tl
7 12 1
Cartesian
-3.184 -0.162 -1.328
-8.544 -1.902 3.436
-4.490 2.779 0.648
-1.812 2.562 -0.867
-5.525 -4.402 -2.109
-4.219 -7.343 -4.085
-0.166 -2.662 -6.873
-6.805 -1.207 -2.785
-4.939 -1.319 -5.822
-5.037 -2.210 -0.060
-3.770 -3.245 2.384
-5.362 -4.673 -5.464
-7.643 -1.051 0.660
-3.347 0.109 2.027
-3.672 -2.354 -3.377
-1.862 0.069 -6.917
-1.904 -3.357 -0.652
-6.847 -4.633 3.479
-1.066 -3.513 -4.097
0.000 0.000 0.000
```


(3)
Compound: Tl9In4Sn
Source: the Alexandria database
Functional: PBE
Structure: optimized geometry

## Properties
- Symmetry: P6_3/mmc, No. 194
- Magnetic moment: 0.00 μB per formula unit

Cell and atoms, written as POSCAR:
```
Tl9In4Sn
1.0
10.723 0.000 0.000
0.000 8.353 -4.822
0.000 0.000 9.645
Tl In Sn
18 8 2
Cartesian
2.681 0.543 4.822
2.681 3.905 6.764
8.042 7.810 0.000
5.718 1.696 2.938
10.367 1.696 2.938
0.356 6.656 -1.885
5.718 1.696 6.707
2.681 3.905 2.881
5.006 6.656 1.885
5.718 4.960 4.822
10.367 1.696 6.707
0.356 6.656 1.885
5.006 3.392 0.000
10.367 4.960 4.822
8.042 4.448 1.941
8.042 4.448 -1.941
0.356 3.392 0.000
5.006 6.656 -1.885
8.042 1.890 0.000
2.681 0.945 1.637
0.000 0.000 0.000
8.042 7.407 3.185
5.362 0.000 0.000
2.681 0.945 8.008
2.681 6.462 4.822
8.042 7.407 -3.185
2.681 5.568 0.000
8.042 2.784 4.822
```


(4)
Compound: Tl4In15Sn
Source: the Alexandria database
Functional: PBE
Structure: optimized geometry

## Properties
- Symmetry: P4/mmm, No. 123
- Magnetic moment: 0.00 μB per formula unit

Cell and atoms, written as POSCAR:
```
Tl4In15Sn
1.0
-2.451 -4.292 0.353
0.382 0.187 4.937
-19.714 11.346 1.096
In Tl Sn
15 4 1
Cartesian
-16.865 7.059 3.525
-5.696 3.482 2.796
-19.042 8.108 1.167
-13.635 8.052 3.237
-12.874 4.762 3.303
-8.908 2.480 3.083
-3.123 -1.054 0.282
-7.112 1.242 0.504
-11.082 3.527 0.725
-17.625 10.348 3.459
-1.706 1.186 2.574
-4.917 0.183 2.861
-1.034 -2.052 2.645
-15.052 5.812 0.945
-9.666 5.767 3.017
-11.811 6.798 0.657
-15.804 9.096 0.879
-7.903 4.548 0.440
-3.910 2.251 0.217
0.000 0.000 0.000
```


(5)
Compound: Tl12In5Sn3
Source: the Alexandria database
Functional: PBE
Structure: optimized geometry

## Properties
- Symmetry: Ia-3d, No. 230
- Magnetic moment: 0.00 μB per formula unit

Cell and atoms, written as POSCAR:
```
Tl12In5Sn3
1.0
15.554 0.000 0.000
-5.185 14.665 0.000
-5.185 -7.332 12.700
In Sn Tl
20 12 48
Cartesian
3.889 2.750 1.587
-1.296 0.917 7.937
5.185 7.332 0.000
7.777 0.000 0.000
9.073 -0.917 7.937
0.000 0.000 0.000
-2.592 -3.666 6.350
-1.296 11.915 1.587
1.296 -3.666 9.525
-5.185 3.666 6.350
6.481 3.666 9.525
-1.296 3.666 3.175
5.185 -3.666 6.350
-3.889 8.249 4.762
-2.592 7.332 0.000
1.296 4.583 11.112
3.889 10.998 3.175
6.481 6.416 4.762
6.481 -4.583 11.112
2.592 3.666 6.350
6.481 0.917 4.762
-1.296 6.416 7.937
9.073 10.082 1.587
9.073 4.583 1.587
3.889 8.249 7.937
-6.481 7.332 9.525
-3.889 2.750 11.112
3.889 0.000 9.525
1.296 7.332 3.175
-3.889 -2.750 11.112
1.296 -0.917 4.762
11.666 0.000 3.175
7.816 3.739 4.647
-2.631 3.593 8.053
2.553 9.560 5.435
-0.385 5.404 0.915
7.203 8.088 7.138
2.978 5.576 1.212
2.207 -1.928 11.785
-1.672 4.949 10.997
-0.385 9.088 1.212
-3.166 8.105 9.785
4.611 -1.528 4.223
7.392 7.504 2.127
2.978 9.260 0.915
8.351 -0.773 2.915
2.207 1.756 11.488
-2.207 -0.172 10.573
0.574 8.861 8.477
10.409 -3.593 8.053
5.758 6.559 9.785
-0.574 0.773 2.915
-5.146 5.821 11.912
9.796 0.755 5.562
3.512 6.332 5.138
-4.611 6.577 7.138
-6.105 3.949 9.265
-5.224 10.925 4.647
6.857 2.383 1.703
-1.672 -3.949 9.265
-0.920 8.332 5.138
5.570 1.928 11.785
0.039 5.104 5.435
-2.019 -0.755 5.562
5.570 -1.756 11.488
11.289 3.383 3.435
7.816 13.153 0.788
3.166 1.528 4.223
-5.570 0.172 10.573
10.330 1.511 0.788
2.019 5.804 8.477
6.857 11.282 3.435
9.449 -4.949 10.997
5.146 2.228 7.265
1.672 1.000 7.562
-2.631 -5.821 11.912
2.631 -2.228 7.265
-4.265 12.282 1.703
6.105 -1.000 7.562
10.755 7.161 2.127
```


(6)
Compound: Tl5In4Sn2
Source: the Alexandria database
Functional: PBE
Structure: optimized geometry

## Properties
- Symmetry: C2/m, No. 12
- Magnetic moment: 0.00 μB per formula unit
- Energy above the lowest structure with this stoichiometry: 0.000 eV per atom

Cell and atoms, written as POSCAR:
```
Tl5In4Sn2
1.0
3.211 0.000 -0.514
-0.026 8.857 -0.160
0.276 0.503 12.002
In Tl Sn
4 5 2
Cartesian
3.469 3.408 11.378
2.010 6.934 2.268
1.451 2.427 9.060
-0.008 5.953 -0.050
0.472 3.856 2.945
2.989 5.504 8.383
1.605 0.000 -0.257
0.682 0.577 4.258
2.779 8.783 7.070
0.989 3.324 6.174
2.472 6.036 5.154
```


(7)
Compound: Tl5In3Sn3
Source: the Alexandria database
Functional: PBE
Structure: optimized geometry

## Properties
- Symmetry: P-62m, No. 189
- Magnetic moment: 0.00 μB per formula unit

Cell and atoms, written as POSCAR:
```
Tl5In3Sn3
1.0
-0.716 -0.423 3.120
9.397 -5.758 1.375
-0.036 11.006 1.485
Tl In Sn
5 3 3
Cartesian
6.036 3.373 3.513
5.895 -0.382 2.971
2.620 -2.037 1.996
2.750 5.207 3.008
-0.369 3.277 2.030
1.493 0.837 0.456
7.898 -4.840 1.156
-0.030 9.251 1.248
-0.380 6.424 2.455
5.307 -3.683 2.389
3.359 1.873 2.695
```


(8)
Compound: Tl2In5Sn3
Source: the Alexandria database
Functional: PBE
Structure: optimized geometry

## Properties
- Symmetry: Cmc2_1, No. 36
- Magnetic moment: 0.00 μB per formula unit

Cell and atoms, written as POSCAR:
```
Tl2In5Sn3
1.0
-1.111 -2.131 4.361
-0.758 -7.454 -3.835
14.404 -1.510 0.089
In Sn Tl
10 6 4
Cartesian
5.057 -2.202 3.055
7.276 -8.470 -2.285
7.839 -5.348 -0.616
0.933 -4.732 -2.074
4.976 -5.413 1.466
9.458 -8.724 0.990
10.688 -4.857 0.350
1.654 -8.143 -0.714
3.058 -2.567 -0.475
11.830 -4.130 3.839
11.533 -6.914 2.403
0.663 -7.521 -3.506
6.056 -2.851 0.150
6.514 -7.903 0.641
2.057 -5.383 0.737
10.851 -2.052 1.762
8.243 -4.344 2.820
4.343 -6.247 -1.946
12.726 -8.086 -0.709
-0.195 -3.054 1.301
```


(9)
Compound: Tl8In5Sn
Source: the Alexandria database
Functional: PBE
Structure: optimized geometry

## Properties
- Symmetry: I-4, No. 82
- Magnetic moment: 0.00 μB per formula unit

Cell and atoms, written as POSCAR:
```
Tl8In5Sn
1.0
-4.923 5.240 3.995
-2.362 -7.722 1.561
7.752 1.068 2.533
Tl In Sn
8 5 1
Cartesian
0.527 5.101 5.796
-2.113 -5.041 1.758
-1.539 2.569 4.496
1.756 -4.542 3.015
0.934 -0.043 2.533
1.586 -2.846 6.092
-2.041 -1.895 3.329
2.759 1.039 5.338
-2.091 0.985 1.671
-4.842 2.525 4.866
-4.492 -1.904 5.504
1.414 3.154 3.264
-0.315 -0.264 5.599
3.402 -1.750 3.679
```


(10)
Compound: Tl5In3Sn12
Source: the Alexandria database
Functional: PBE
Structure: optimized geometry

## Properties
- Symmetry: Ia-3d, No. 230
- Magnetic moment: 0.00 μB per formula unit

Cell and atoms, written as POSCAR:
```
Tl5In3Sn12
1.0
15.582 0.000 0.000
-5.194 14.691 0.000
-5.194 -7.345 12.723
Tl In Sn
20 12 48
Cartesian
-2.597 7.345 0.000
6.492 6.427 4.771
7.791 0.000 0.000
5.194 -3.673 6.361
-5.194 3.673 6.361
-1.298 0.918 7.952
-3.895 8.264 4.771
5.194 7.345 0.000
-1.298 3.673 3.181
2.597 3.673 6.361
-1.298 11.936 1.590
6.492 3.673 9.542
3.895 2.755 1.590
6.492 -4.591 11.132
1.298 -3.673 9.542
0.000 0.000 0.000
-2.597 -3.673 6.361
3.895 11.018 3.181
1.298 4.591 11.132
9.089 -0.918 7.952
3.895 0.000 9.542
-6.492 7.345 9.542
-3.895 2.755 11.132
-1.298 6.427 7.952
1.298 7.345 3.181
6.492 0.918 4.771
1.298 -0.918 4.771
9.089 4.591 1.590
-3.895 -2.755 11.132
3.895 8.264 7.952
11.686 0.000 3.181
9.089 10.100 1.590
7.104 8.193 7.354
-2.759 -5.756 11.730
-0.750 8.238 5.291
5.944 -0.892 7.432
7.041 2.317 1.873
-1.847 5.028 10.850
-0.226 8.980 1.070
10.614 7.236 1.951
3.284 1.401 4.411
-2.759 3.738 8.234
0.162 5.327 5.481
7.953 3.608 4.489
2.371 -1.744 11.842
5.420 -1.634 11.652
7.953 13.102 0.992
1.847 0.892 7.432
8.478 -0.553 2.943
11.138 3.210 3.418
3.347 6.453 5.291
-1.910 -0.847 5.369
10.226 1.589 0.992
5.420 1.744 11.842
2.435 9.364 5.481
-4.507 6.498 7.354
-5.420 0.110 10.772
-1.847 -4.136 9.304
2.823 9.090 0.880
10.550 -3.738 8.234
9.701 0.847 5.369
-3.284 7.899 9.780
5.032 2.019 7.241
-2.371 -0.110 10.772
-5.944 4.136 9.304
-0.687 0.553 2.943
9.638 -5.028 10.850
-5.032 5.756 11.730
2.371 1.634 11.652
-5.356 11.083 4.489
2.823 5.711 1.070
7.041 11.481 3.418
0.687 8.746 8.312
7.565 7.455 1.951
4.507 -1.401 4.411
-4.444 12.374 1.873
2.759 -2.019 7.241
5.881 6.792 9.780
1.910 5.945 8.312
-0.226 5.601 0.880
```


(11)
Compound: Tl6In3Sn2
Source: the Alexandria database
Functional: PBE
Structure: optimized geometry

## Properties
- Symmetry: P-1, No. 2
- Magnetic moment: 0.00 μB per formula unit

Cell and atoms, written as POSCAR:
```
Tl6In3Sn2
1.0
-3.424 -2.806 -4.126
5.873 -6.336 1.908
0.504 -20.271 -0.550
Tl Sn In
6 2 3
Cartesian
2.899 -6.588 0.031
-0.056 -18.218 -3.222
0.054 -22.824 -2.800
0.078 -11.449 -1.392
2.874 -17.963 -1.377
3.008 -11.195 0.453
3.042 -22.576 -0.894
-0.089 -6.837 -1.874
0.264 -15.754 -0.942
0.000 0.000 0.000
2.689 -13.658 -1.826
```


(12)
Compound: Tl8In6Sn
Source: the Alexandria database
Functional: PBE
Structure: optimized geometry

## Properties
- Symmetry: R-3, No. 148
- Magnetic moment: 0.00 μB per formula unit

Cell and atoms, written as POSCAR:
```
Tl8In6Sn
1.0
7.058 0.000 4.056
2.363 6.651 4.056
-0.677 -0.478 9.347
Tl In Sn
8 6 1
Cartesian
6.230 5.452 9.582
2.180 1.539 4.375
6.564 4.633 13.085
6.042 0.719 7.554
2.514 0.720 7.877
2.200 4.045 6.695
2.703 5.454 9.906
6.544 2.128 10.764
4.051 0.432 11.402
5.368 2.500 5.131
3.377 3.673 12.329
7.592 4.221 7.108
4.693 5.741 6.058
1.152 1.952 10.352
0.000 0.000 0.000
```


Number 1: VASP energy -2.6248 eV/atom. Number 2: VASP energy -3.0694 eV/atom. Number 3: VASP energy -2.5479 eV/atom. Number 4: VASP energy -2.6840 eV/atom. Number 5: VASP energy -2.5226 eV/atom. Number 6: VASP energy -2.7142 eV/atom. Number 7: VASP energy -2.8125 eV/atom. Number 8: VASP energy -3.0234 eV/atom. Number 9: VASP energy -2.5478 eV/atom. Number 10: VASP energy -3.1870 eV/atom. Number 11: VASP energy -2.7568 eV/atom. Number 12: VASP energy -2.5609 eV/atom.